Entry from Alexandria: FeReAs after structural relaxation (PBE).

a = 4.0561 Å, b = 4.0561 Å, c = 2.8466 Å
α = 90.00°, β = 90.00°, γ = 120.00°
With the nearest neighbours (Å) after each atom.
Space group P3m1 (No. 156)
Unique sites:
Fe1 0.0000 0.0000 0.0000 [1 per cell]  3 As 2.34
Re1 0.3333 0.6667 0.4997 [1 per cell]  6 As 2.74, 6 Fe 2.74, 2 Re 2.85
As1 0.6667 0.3333 0.9972 [1 per cell]  3 Fe 2.34

Calculated values
Formation energy   0.31 eV per atom
Energy above the lowest structure with this stoichiometry   0.0502 eV per atom
V   40.56 Å³ per cell
Theoretical density   12.978 g/cm³